ZrReW: optimized geometry, PBE.

a b c (Å): 4.4275 4.4275 4.4275
angles (deg): 60.00 60.00 60.00
Sites, in units of the cell vectors:
Zr: 0.0000 0.0000 0.0000
Re: 0.2500 0.2500 0.2500
W: 0.5000 0.5000 0.5000

Summary:
Calculated total energy   -10.886 eV/atom
Mass density   12.48 g cm⁻³
Symmetry   No. 216
Relative energy among the computed polymorphs   698.2 meV/atom
E_form   1.29 eV per formula unit